Entry 1:
# Er2MgCu2 (meta-GGA SCAN, single point on PBEsol structure)
# Energy of formation from the pure elements: -0.300 eV per atom
# Symmetry: P4/mbm (127)
data_Er2MgCu2
_symmetry_space_group_name_H-M 'P 1'
_symmetry_Int_Tables_number 1
_symmetry_space_group_name_Hall 'P 1'
_cell_length_a 7.5045
_cell_length_b 7.5045
_cell_length_c 3.5403
_cell_angle_alpha 90.00
_cell_angle_beta 90.00
_cell_angle_gamma 90.00
loop_
_atom_site_label
_atom_site_type_symbol
_atom_site_fract_x
_atom_site_fract_y
_atom_site_fract_z
Er1 Er 0.1687 0.3313 0.0000
Er2 Er 0.3313 0.8313 0.0000
Er3 Er 0.6687 0.1687 0.0000
Er4 Er 0.8313 0.6687 0.0000
Mg1 Mg 0.0000 0.0000 0.5000
Mg2 Mg 0.5000 0.5000 0.5000
Cu1 Cu 0.1232 0.6232 0.5000
Cu2 Cu 0.3768 0.1232 0.5000
Cu3 Cu 0.6232 0.8768 0.5000
Cu4 Cu 0.8768 0.3768 0.5000


Entry 2:
# GaTe3F (meta-GGA SCAN, single point on PBEsol structure)
# Symmetry: Pm-3m (221)
# E_form (uncorrected): 0.0597 eV per atom
# Relative energy among the computed polymorphs: 0 meV per atom
data_GaTe3F
_symmetry_space_group_name_H-M 'P 1'
_symmetry_Int_Tables_number 1
_symmetry_space_group_name_Hall 'P 1'
_cell_length_a 4.9700
_cell_length_b 4.9700
_cell_length_c 4.9700
_cell_angle_alpha 90.00
_cell_angle_beta 90.00
_cell_angle_gamma 90.00
loop_
_atom_site_label
_atom_site_type_symbol
_atom_site_fract_x
_atom_site_fract_y
_atom_site_fract_z
Ga1 Ga 0.0000 0.0000 0.0000
Te1 Te 0.0000 0.5000 0.5000
Te2 Te 0.5000 0.0000 0.5000
Te3 Te 0.5000 0.5000 0.0000
F1 F 0.5000 0.5000 0.5000


Entry 3:
# ZrCd2Hg (meta-GGA SCAN, single point on PBEsol structure)
# Energy of formation from the pure elements: -0.102 eV per atom
# Symmetry: Pmm2 (25)
data_ZrCd2Hg
_symmetry_space_group_name_H-M 'P 1'
_symmetry_Int_Tables_number 1
_symmetry_space_group_name_Hall 'P 1'
_cell_length_a 3.0015
_cell_length_b 4.3233
_cell_length_c 6.3273
_cell_angle_alpha 90.00
_cell_angle_beta 90.00
_cell_angle_gamma 90.00
loop_
_atom_site_label
_atom_site_type_symbol
_atom_site_fract_x
_atom_site_fract_y
_atom_site_fract_z
Zr1 Zr 0.0000 0.0000 0.0000
Cd1 Cd 0.0000 0.0000 0.4994
Cd2 Cd 0.5000 0.5000 0.2596
Hg1 Hg 0.5000 0.5000 0.7638


Entry 4:
# Zr2BeSb (meta-GGA SCAN, single point on PBEsol structure)
# Symmetry: I4/mmm (139)
# E_form (uncorrected): -0.3195 eV per atom
# Relative energy among the computed polymorphs: 235 meV per atom
data_Zr2BeSb
_symmetry_space_group_name_H-M 'P 1'
_symmetry_Int_Tables_number 1
_symmetry_space_group_name_Hall 'P 1'
_cell_length_a 5.1158
_cell_length_b 5.1158
_cell_length_c 5.1158
_cell_angle_alpha 131.15
_cell_angle_beta 131.15
_cell_angle_gamma 71.58
loop_
_atom_site_label
_atom_site_type_symbol
_atom_site_fract_x
_atom_site_fract_y
_atom_site_fract_z
Zr1 Zr 0.2500 0.7500 0.5000
Zr2 Zr 0.7500 0.2500 0.5000
Be1 Be 0.0000 0.0000 0.0000
Sb1 Sb 0.5000 0.5000 0.0000


Entry 5:
# Cr2AgP (meta-GGA SCAN, single point on PBEsol structure)
# Energy of formation from the pure elements: 0.245 eV per atom
# Symmetry: P2/m (10)
data_Cr2AgP
_symmetry_space_group_name_H-M 'P 1'
_symmetry_Int_Tables_number 1
_symmetry_space_group_name_Hall 'P 1'
_cell_length_a 2.9045
_cell_length_b 3.3715
_cell_length_c 5.4721
_cell_angle_alpha 90.00
_cell_angle_beta 98.84
_cell_angle_gamma 90.00
loop_
_atom_site_label
_atom_site_type_symbol
_atom_site_fract_x
_atom_site_fract_y
_atom_site_fract_z
Cr1 Cr 0.0761 0.0000 0.3179
Cr2 Cr 0.9240 0.0000 0.6821
Ag1 Ag 0.5000 0.5000 0.0000
P1 P 0.5000 0.5000 0.5000


Entry 6:
# KTcBr2 (meta-GGA SCAN, single point on PBEsol structure)
# Symmetry: Cm (8)
# E_form (uncorrected): -0.1943 eV per atom
# Relative energy among the computed polymorphs: 144 meV per atom
data_KTcBr2
_symmetry_space_group_name_H-M 'P 1'
_symmetry_Int_Tables_number 1
_symmetry_space_group_name_Hall 'P 1'
_cell_length_a 7.6245
_cell_length_b 7.6245
_cell_length_c 3.9421
_cell_angle_alpha 90.08
_cell_angle_beta 90.08
_cell_angle_gamma 27.40
loop_
_atom_site_label
_atom_site_type_symbol
_atom_site_fract_x
_atom_site_fract_y
_atom_site_fract_z
K1 K 0.0000 0.0000 0.0000
Tc1 Tc 0.7858 0.7858 0.5041
Br1 Br 0.3090 0.3090 0.0043
Br2 Br 0.6082 0.6082 0.5006


Entry 7:
# Sn3MoOs (meta-GGA SCAN, single point on PBEsol structure)
# Energy of formation from the pure elements: 1.021 eV per atom
# Symmetry: Pm-3m (221)
data_Sn3MoOs
_symmetry_space_group_name_H-M 'P 1'
_symmetry_Int_Tables_number 1
_symmetry_space_group_name_Hall 'P 1'
_cell_length_a 5.0576
_cell_length_b 5.0576
_cell_length_c 5.0576
_cell_angle_alpha 90.00
_cell_angle_beta 90.00
_cell_angle_gamma 90.00
loop_
_atom_site_label
_atom_site_type_symbol
_atom_site_fract_x
_atom_site_fract_y
_atom_site_fract_z
Sn1 Sn 0.0000 0.0000 0.5000
Sn2 Sn 0.0000 0.5000 0.0000
Sn3 Sn 0.5000 0.0000 0.0000
Mo1 Mo 0.5000 0.5000 0.5000
Os1 Os 0.0000 0.0000 0.0000


Entry 8:
# Sr5Ir3O11 (meta-GGA SCAN, single point on PBEsol structure)
# Symmetry: C2 (5)
# E_form (uncorrected): -2.0548 eV per atom
data_Sr5Ir3O11
_symmetry_space_group_name_H-M 'P 1'
_symmetry_Int_Tables_number 1
_symmetry_space_group_name_Hall 'P 1'
_cell_length_a 3.9145
_cell_length_b 3.9145
_cell_length_c 16.5455
_cell_angle_alpha 90.11
_cell_angle_beta 90.11
_cell_angle_gamma 90.05
loop_
_atom_site_label
_atom_site_type_symbol
_atom_site_fract_x
_atom_site_fract_y
_atom_site_fract_z
Sr1 Sr 0.0000 0.0000 0.0000
Sr2 Sr 0.4958 0.5023 0.3898
Sr3 Sr 0.4977 0.5042 0.6102
Sr4 Sr 0.9946 0.0005 0.2306
Sr5 Sr 0.9995 0.0054 0.7694
Ir1 Ir 0.4972 0.4967 0.1231
Ir2 Ir 0.5033 0.5028 0.8769
Ir3 Ir 0.9970 0.0030 0.5000
O1 O 0.0041 0.5203 0.8866
O2 O 0.4797 0.9959 0.1134
O3 O 0.4940 0.5017 0.2451
O4 O 0.4968 0.0034 0.8728
O5 O 0.4969 0.0043 0.4999
O6 O 0.4983 0.5060 0.7549
O7 O 0.5317 0.4683 0.0000
O8 O 0.9960 0.0019 0.3760
O9 O 0.9957 0.5031 0.5001
O10 O 0.9966 0.5032 0.1272
O11 O 0.9981 0.0040 0.6240


Entry 9:
# BaAlAu3 (meta-GGA SCAN, single point on PBEsol structure)
# Energy of formation from the pure elements: -0.711 eV per atom
# Symmetry: Pm-3m (221)
data_BaAlAu3
_symmetry_space_group_name_H-M 'P 1'
_symmetry_Int_Tables_number 1
_symmetry_space_group_name_Hall 'P 1'
_cell_length_a 4.9632
_cell_length_b 4.9632
_cell_length_c 4.9632
_cell_angle_alpha 90.00
_cell_angle_beta 90.00
_cell_angle_gamma 90.00
loop_
_atom_site_label
_atom_site_type_symbol
_atom_site_fract_x
_atom_site_fract_y
_atom_site_fract_z
Ba1 Ba 0.0000 0.0000 0.0000
Al1 Al 0.5000 0.5000 0.5000
Au1 Au 0.0000 0.5000 0.5000
Au2 Au 0.5000 0.0000 0.5000
Au3 Au 0.5000 0.5000 0.0000


Entry 10:
# Zn3PBr3 (meta-GGA SCAN, single point on PBEsol structure)
# Symmetry: Pm (6)
# E_form (uncorrected): -0.7202 eV per atom
data_Zn3PBr3
_symmetry_space_group_name_H-M 'P 1'
_symmetry_Int_Tables_number 1
_symmetry_space_group_name_Hall 'P 1'
_cell_length_a 6.5429
_cell_length_b 3.9827
_cell_length_c 6.8567
_cell_angle_alpha 90.00
_cell_angle_beta 90.19
_cell_angle_gamma 90.00
loop_
_atom_site_label
_atom_site_type_symbol
_atom_site_fract_x
_atom_site_fract_y
_atom_site_fract_z
Zn1 Zn 0.0000 0.0000 0.0000
Zn2 Zn 0.0360 0.5000 0.4284
Zn3 Zn 0.4827 0.0000 0.2669
P1 P 0.1377 0.0000 0.3036
Br1 Br 0.1182 0.5000 0.7978
Br2 Br 0.6340 0.0000 0.9455
Br3 Br 0.6411 0.5000 0.4457


Entry 11:
# SrP2S2 (meta-GGA SCAN, single point on PBEsol structure)
# Symmetry: I4/mmm (139)
# E_form (uncorrected): -0.2936 eV per atom
# Relative energy among the computed polymorphs: 0 meV per atom
data_SrP2S2
_symmetry_space_group_name_H-M 'P 1'
_symmetry_Int_Tables_number 1
_symmetry_space_group_name_Hall 'P 1'
_cell_length_a 5.3345
_cell_length_b 5.3345
_cell_length_c 5.3345
_cell_angle_alpha 123.55
_cell_angle_beta 123.55
_cell_angle_gamma 83.95
loop_
_atom_site_label
_atom_site_type_symbol
_atom_site_fract_x
_atom_site_fract_y
_atom_site_fract_z
Sr1 Sr 0.0000 0.0000 0.0000
P1 P 0.3691 0.3691 0.0000
P2 P 0.6309 0.6309 0.0000
S1 S 0.2500 0.7500 0.5000
S2 S 0.7500 0.2500 0.5000


Entry 12:
# ScBeRe2 (meta-GGA SCAN, single point on PBEsol structure)
# Energy of formation from the pure elements: 0.059 eV per atom
# Symmetry: Imm2 (44)
data_ScBeRe2
_symmetry_space_group_name_H-M 'P 1'
_symmetry_Int_Tables_number 1
_symmetry_space_group_name_Hall 'P 1'
_cell_length_a 5.0209
_cell_length_b 5.0209
_cell_length_c 5.0209
_cell_angle_alpha 143.66
_cell_angle_beta 128.24
_cell_angle_gamma 64.88
loop_
_atom_site_label
_atom_site_type_symbol
_atom_site_fract_x
_atom_site_fract_y
_atom_site_fract_z
Sc1 Sc 0.0000 0.0000 0.0000
Be1 Be 0.2719 0.7719 0.5000
Re1 Re 0.5023 0.5023 0.0000
Re2 Re 0.7350 0.2350 0.5000


no.,total DFT energy (no corrections) (eV per cell)
1,-275.108
2,-131.341
3,-160.100
4,-104.290
5,-77.555
6,-83.085
7,-209.425
8,-432.258
9,-258.326
10,-114.365
11,-63.797
12,-160.550